# 1
The following is a SCAN calculation of a crystal of Mg4CuSe2 relaxed with PBEsol, from Alexandria. Values from VASP.

```
&SYSTEM
  ibrav = 0, nat = 7, ntyp = 3
/
ATOMIC_SPECIES
Mg 24.30 Mg.upf
Cu 63.55 Cu.upf
Se 78.96 Se.upf
CELL_PARAMETERS angstrom
-3.215 3.215 3.613
3.215 -3.215 3.613
3.215 3.215 -3.613
ATOMIC_POSITIONS crystal
Mg 0.225 0.225 0.449
Mg 0.225 0.775 0.000
Mg 0.775 0.225 0.000
Mg 0.775 0.775 0.551
Cu 0.500 0.500 0.000
Se 0.250 0.750 0.500
Se 0.750 0.250 0.500
```

Calculated values
- crystal system = tetragonal
- offset from the most stable computed form (meV per atom) = 266

# 2
The following is a SCAN calculation of a crystal of MgCuSi2 relaxed with PBEsol, from Alexandria. Values from VASP.

```
&SYSTEM
  ibrav = 0, nat = 4, ntyp = 3
/
ATOMIC_SPECIES
Mg 24.30 Mg.upf
Cu 63.55 Cu.upf
Si 28.09 Si.upf
CELL_PARAMETERS angstrom
3.843 -1.545 0.000
3.843 1.545 0.000
-1.168 0.000 5.319
ATOMIC_POSITIONS crystal
Mg 0.000 0.000 0.000
Cu 0.500 0.500 0.500
Si 0.241 0.241 0.686
Si 0.759 0.759 0.314
```

Calculated values
- crystal system = monoclinic

# 3
The following is a SCAN calculation of a crystal of Mg14CuSi relaxed with PBEsol, from Alexandria. Values from VASP.

```
&SYSTEM
  ibrav = 0, nat = 16, ntyp = 3
/
ATOMIC_SPECIES
Mg 24.30 Mg.upf
Cu 63.55 Cu.upf
Si 28.09 Si.upf
CELL_PARAMETERS angstrom
9.925 0.000 0.000
0.000 3.128 5.349
0.000 -3.128 5.349
ATOMIC_POSITIONS crystal
Mg 0.000 0.000 0.000
Mg 0.000 0.494 0.996
Mg 0.000 0.500 0.500
Mg 0.000 0.996 0.494
Mg 0.251 0.830 0.830
Mg 0.254 0.332 0.332
Mg 0.277 0.328 0.822
Mg 0.277 0.822 0.328
Mg 0.500 0.017 0.515
Mg 0.500 0.515 0.017
Mg 0.723 0.328 0.822
Mg 0.723 0.822 0.328
Mg 0.746 0.332 0.332
Mg 0.749 0.830 0.830
Cu 0.500 0.489 0.489
Si 0.500 0.993 0.993
```

Calculated values
- crystal system = orthorhombic

# 4
The following is a SCAN calculation of a crystal of Mg2CuSi relaxed with PBEsol, from Alexandria. Values from VASP.

```
&SYSTEM
  ibrav = 0, nat = 4, ntyp = 3
/
ATOMIC_SPECIES
Mg 24.30 Mg.upf
Cu 63.55 Cu.upf
Si 28.09 Si.upf
CELL_PARAMETERS angstrom
4.933 -1.474 0.000
4.933 1.474 0.000
-1.534 0.000 4.497
ATOMIC_POSITIONS crystal
Mg 0.000 0.000 0.000
Mg 0.208 0.208 0.652
Cu 0.755 0.755 0.169
Si 0.444 0.444 0.461
```

Calculated values
- crystal system = monoclinic

# 5
The following is a SCAN calculation of a crystal of MgCuSi3 relaxed with PBEsol, from Alexandria. Values from VASP.

```
&SYSTEM
  ibrav = 0, nat = 5, ntyp = 3
/
ATOMIC_SPECIES
Mg 24.30 Mg.upf
Cu 63.55 Cu.upf
Si 28.09 Si.upf
CELL_PARAMETERS angstrom
4.764 0.000 0.000
0.000 4.764 0.000
0.000 0.000 4.764
ATOMIC_POSITIONS crystal
Mg 0.000 0.000 0.000
Cu 0.500 0.500 0.500
Si 0.000 0.000 0.500
Si 0.000 0.500 0.000
Si 0.500 0.000 0.000
```

Calculated values
- crystal system = cubic

# 6
The following is a SCAN calculation of a crystal of Mg2CuSi relaxed with PBEsol, from Alexandria. Values from VASP.

```
&SYSTEM
  ibrav = 0, nat = 4, ntyp = 3
/
ATOMIC_SPECIES
Mg 24.30 Mg.upf
Cu 63.55 Cu.upf
Si 28.09 Si.upf
CELL_PARAMETERS angstrom
0.000 3.173 3.173
3.173 0.000 3.173
3.173 3.173 0.000
ATOMIC_POSITIONS crystal
Mg 0.000 0.000 0.000
Mg 0.250 0.250 0.250
Cu 0.750 0.750 0.750
Si 0.500 0.500 0.500
```

Calculated values
- crystal system = cubic

Table of final energy (eV/cell), in record order: -77.0, -39.6, -94.2, -35.2, -42.4, -34.5
Table of ΔE_f (raw) (meV/atom), in record order: -249.3, 153.4, 41.3, 1.6, 1570.4, 167.4